Entry 1:
Here is crystalline TmTl3 at its relaxed geometry from Alexandria. Energies are from PBE-GGA.

abc: 4.7487 4.7487 4.7487
angles: 90.00 90.00 90.00
Last column: nearest neighbours and their distance in Å.
Space group Pm-3m (No. 221)
Symmetry-distinct sites (fractional):
Tm  0.0000  0.0000  0.0000 (multiplicity 1)  12 Tl 3.36
Tl  0.0000  0.5000  0.5000 (multiplicity 3)  8 Tl 3.36, 4 Tm 3.36

Crystal system = cubic

Entry 2:
Here is crystalline La2Tb15Th2 at its relaxed geometry from Alexandria. Energies are from PBE-GGA.

abc: 11.2814 11.2814 17.7063
angles: 90.00 90.00 120.00
Last column: nearest neighbours and their distance in Å.
Space group R-3m (No. 166, hexagonal axes)
Symmetry-distinct sites (fractional):
La  0.0000  0.0000  0.1748 (multiplicity 6)  15 Tb 3.99-4.30, 1 Th 4.23
Tb  0.0000  0.2967  0.5000 (multiplicity 18)  6 Tb 3.35-3.41, 2 Th 3.68
Tb  0.0000  0.5000  0.0000 (multiplicity 9)  8 Tb 3.34-3.41, 2 Th 3.55
Tb  0.0095  0.5047  0.6382 (multiplicity 18)  6 Tb 3.32-3.35
Th  0.0000  0.0000  0.4136 (multiplicity 6)  1 Th 3.06

Crystal system = trigonal

no.,total energy (Ha/atom),N(E_F) (states/eV/atom),total magnetic moment (μB/f.u.)
1,-0.113,0.233,0.0
2,-0.172,1.708,0.0